The following is a PBEsol calculation of a relaxed structure of Ga3Ni20B6, from Alexandria.

Summary:
calculated density: 8.6 g/cm3
space-group type: Fm-3m, No. 225
energy: -6.424 eV per atom
energy of formation: -11.03 eV per formula unit

Cell lengths 7.335, 7.335, 7.335 Å; angles 60.00, 60.00, 60.00 degrees
Fractional positions:
Ga: 0.000 0.000 0.000
Ga: 0.250 0.250 0.250
Ga: 0.750 0.750 0.750
Ni: 0.000 0.000 0.338
Ni: 0.000 0.000 0.662
Ni: 0.000 0.338 0.000
Ni: 0.000 0.338 0.662
Ni: 0.000 0.662 0.000
Ni: 0.000 0.662 0.338
Ni: 0.146 0.618 0.618
Ni: 0.338 0.000 0.000
Ni: 0.338 0.000 0.662
Ni: 0.338 0.662 0.000
Ni: 0.382 0.382 0.382
Ni: 0.382 0.382 0.854
Ni: 0.382 0.854 0.382
Ni: 0.618 0.146 0.618
Ni: 0.618 0.618 0.146
Ni: 0.618 0.618 0.618
Ni: 0.662 0.000 0.000
Ni: 0.662 0.000 0.338
Ni: 0.662 0.338 0.000
Ni: 0.854 0.382 0.382
B: 0.276 0.276 0.724
B: 0.276 0.724 0.276
B: 0.276 0.724 0.724
B: 0.724 0.276 0.276
B: 0.724 0.276 0.724
B: 0.724 0.724 0.276